1.
Material: Tm2HfMgP4
Method: DFT, PBE-GGA
State: relaxed

Cell lengths 3.8527, 6.7096, 6.6354 Å; angles 109.69, 90.00, 90.00 degrees
Closest atoms and distances in Å follow each position.
Positions (direct):
Tm1 0.5000 0.0000 0.5000  6 P 2.75-2.76
Tm2 0.0000 0.5000 0.5000  6 P 2.78-2.80
Hf1 0.0000 0.0000 0.0000  6 P 2.65-2.66
Mg1 0.5000 0.5000 0.0000  6 P 2.69-2.71
P1 0.5000 0.2411 0.2372  2 Hf 2.66, 1 Mg 2.71, 3 Tm 2.75-2.78
P2 0.5000 0.7589 0.7628  2 Hf 2.66, 1 Mg 2.71, 3 Tm 2.75-2.78
P3 0.0000 0.2494 0.7633  1 Hf 2.65, 2 Mg 2.69, 3 Tm 2.76-2.80
P4 0.0000 0.7506 0.2367  1 Hf 2.65, 2 Mg 2.69, 3 Tm 2.76-2.80

Computed properties:
Symmetry: P2/m (10)

=====

2.
Material: HfMgZrP2
Method: DFT, PBE-GGA
State: relaxed

Cell lengths 4.6553, 4.9606, 4.6553 Å; angles 90.00, 90.00, 90.00 degrees
Closest atoms and distances in Å follow each position.
Positions (direct):
P1 0.0000 0.0000 0.5000  2 Mg 2.33
P2 0.5000 0.0000 0.0000  2 Mg 2.33
Mg1 0.0000 0.0000 0.0000  4 P 2.33, 2 Zr 2.48
Hf1 0.5000 0.5000 0.5000  4 Zr 3.29, 8 P 3.40
Zr1 0.0000 0.5000 0.0000  2 Mg 2.48

Computed properties:
Symmetry: P4/mmm (123)

=====

3.
Material: HfMgPa2
Method: DFT, PBE-GGA
State: relaxed

Cell lengths 3.1085, 3.1085, 12.1228 Å; angles 82.63, 82.63, 60.00 degrees
Closest atoms and distances in Å follow each position.
Positions (direct):
Mg1 0.0000 0.0000 0.0000  6 Mg 3.11, 2 Pa 3.24
Pa1 0.0901 0.0901 0.7297  6 Pa 3.11, 1 Mg 3.24, 3 Hf 3.29
Pa2 0.9099 0.9099 0.2703  6 Pa 3.11, 1 Mg 3.24, 3 Hf 3.29
Hf1 0.5000 0.5000 0.5000  6 Hf 3.11, 6 Pa 3.29

Computed properties:
Symmetry: R-3m (166)

=====

4.
Material: HfMgPa
Method: DFT, PBE-GGA
State: relaxed

Cell lengths 4.3463, 4.3463, 7.8496 Å; angles 90.00, 90.00, 90.00 degrees
Closest atoms and distances in Å follow each position.
Positions (direct):
Hf1 0.5000 0.0000 0.3056  5 Mg 3.02-3.07, 4 Pa 3.24
Hf2 0.0000 0.5000 0.6944  5 Mg 3.02-3.07, 4 Pa 3.24
Mg1 0.5000 0.0000 0.6900  5 Hf 3.02-3.07, 4 Pa 3.26
Mg2 0.0000 0.5000 0.3100  5 Hf 3.02-3.07, 4 Pa 3.26
Pa1 0.5000 0.5000 0.0000  4 Pa 3.07, 4 Hf 3.24, 4 Mg 3.26
Pa2 0.0000 0.0000 0.0000  4 Pa 3.07, 4 Hf 3.24, 4 Mg 3.26

Computed properties:
Symmetry: P4/nmm (129)

=====

5.
Material: HfMgPa
Method: DFT, PBE-GGA
State: relaxed

Cell lengths 3.0714, 3.0714, 7.8130 Å; angles 101.34, 101.34, 90.00 degrees
Closest atoms and distances in Å follow each position.
Positions (direct):
Mg1 0.3275 0.3275 0.6550  4 Mg 3.07, 4 Hf 3.26
Pa1 0.0070 0.0070 0.0140  4 Pa 3.07, 4 Hf 3.22
Hf1 0.6655 0.6655 0.3310  4 Hf 3.07, 4 Pa 3.22, 4 Mg 3.26

Computed properties:
Symmetry: I4mm (107)

=====

6.
Material: HfMgPa
Method: DFT, PBE-GGA
State: relaxed

Cell lengths 3.1250, 3.1250, 8.3581 Å; angles 90.00, 90.00, 120.00 degrees
Closest atoms and distances in Å follow each position.
Positions (direct):
Mg1 0.0000 0.0000 0.9901  6 Mg 3.13, 3 Hf 3.24, 3 Pa 3.45
Pa1 0.6667 0.3333 0.3418  6 Pa 3.13, 3 Hf 3.27, 3 Mg 3.45
Hf1 0.3333 0.6667 0.6681  6 Hf 3.13, 3 Mg 3.24, 3 Pa 3.27

Computed properties:
Symmetry: P3m1 (156)

=====

7.
Material: HfMgPa
Method: DFT, PBE-GGA
State: relaxed

Cell lengths 3.1781, 3.1781, 16.1701 Å; angles 84.47, 84.47, 59.92 degrees
Closest atoms and distances in Å follow each position.
Positions (direct):
Hf1 0.3210 0.3210 0.4973  6 Hf 3.17-3.18, 3 Mg 3.21, 3 Pa 3.23
Hf2 0.8148 0.8148 0.0055  6 Hf 3.17-3.18, 3 Mg 3.21-3.22, 3 Pa 3.23-3.24
Mg1 0.4272 0.4272 0.1696  9 Mg 3.17-3.21, 3 Hf 3.21-3.22
Mg2 0.7081 0.7081 0.3331  9 Mg 3.17-3.21, 3 Hf 3.21
Pa1 0.9341 0.9341 0.6630  9 Pa 3.17-3.39, 3 Hf 3.23
Pa2 0.2021 0.2021 0.8397  9 Pa 3.17-3.39, 3 Hf 3.23-3.24

Computed properties:
Symmetry: C2/m (12)

=====

8.
Material: Hf2MgPb2
Method: DFT, PBE-GGA
State: relaxed

Cell lengths 8.0471, 8.0471, 3.8538 Å; angles 90.00, 90.00, 90.00 degrees
Closest atoms and distances in Å follow each position.
Positions (direct):
Pb1 0.1703 0.6703 0.5000  6 Hf 2.97-3.12
Pb2 0.6703 0.8297 0.5000  6 Hf 2.97-3.12
Pb3 0.8297 0.3297 0.5000  6 Hf 2.97-3.12
Pb4 0.3297 0.1703 0.5000  6 Hf 2.97-3.12
Mg1 0.0000 0.0000 0.0000  4 Hf 3.15
Mg2 0.5000 0.5000 0.0000  4 Hf 3.15
Hf1 0.3686 0.8686 0.0000  6 Pb 2.97-3.12, 1 Hf 2.99, 2 Mg 3.15
Hf2 0.8686 0.6314 0.0000  6 Pb 2.97-3.12, 1 Hf 2.99, 2 Mg 3.15
Hf3 0.6314 0.1314 0.0000  6 Pb 2.97-3.12, 1 Hf 2.99, 2 Mg 3.15
Hf4 0.1314 0.3686 0.0000  6 Pb 2.97-3.12, 1 Hf 2.99, 2 Mg 3.15

Computed properties:
Symmetry: P4/mbm (127)

=====

9.
Material: HfMg2Pb
Method: DFT, PBE-GGA
State: relaxed

Cell lengths 8.2208, 8.2208, 6.5195 Å; angles 50.91, 50.91, 90.00 degrees
Closest atoms and distances in Å follow each position.
Positions (direct):
Pb1 0.0000 0.0000 0.0000  4 Mg 2.92, 2 Hf 2.95
Pb2 0.7500 0.2500 0.5000  4 Mg 2.92, 2 Hf 2.95
Mg1 0.6397 0.1250 0.2500  2 Pb 2.92, 2 Mg 2.96, 2 Hf 3.08
Mg2 0.1103 0.6250 0.2500  2 Pb 2.92, 2 Mg 2.96, 2 Hf 3.08
Mg3 0.3750 0.3603 0.7500  2 Pb 2.92, 2 Mg 2.96, 2 Hf 3.08
Mg4 0.8750 0.8897 0.7500  2 Pb 2.92, 2 Mg 2.96, 2 Hf 3.08
Hf1 0.5000 0.5000 0.0000  2 Pb 2.95, 4 Mg 3.08
Hf2 0.2500 0.7500 0.5000  2 Pb 2.95, 4 Mg 3.08

Computed properties:
Symmetry: I-42d (122)

=====

10.
Material: HfMgPb2
Method: DFT, PBE-GGA
State: relaxed

Cell lengths 3.3786, 3.3786, 11.0228 Å; angles 81.18, 81.18, 60.00 degrees
Closest atoms and distances in Å follow each position.
Positions (direct):
Pb1 0.0907 0.0907 0.7279  1 Hf 2.95, 3 Mg 3.15
Pb2 0.9093 0.9093 0.2721  1 Hf 2.95, 3 Mg 3.15
Mg1 0.5000 0.5000 0.5000  6 Pb 3.15, 6 Mg 3.38
Hf1 0.0000 0.0000 0.0000  2 Pb 2.95

Computed properties:
Symmetry: R-3m (166)

=====

11.
Material: HfMgPb
Method: DFT, PBE-GGA
State: relaxed

Cell lengths 3.2315, 4.9765, 4.9765 Å; angles 120.00, 90.00, 90.00 degrees
Closest atoms and distances in Å follow each position.
Positions (direct):
Pb1 0.5205 0.6667 0.3333  3 Mg 2.88
Mg1 0.4842 0.3333 0.6667  3 Pb 2.88
Hf1 0.9953 0.0000 0.0000  2 Hf 3.23, 6 Pb 3.26-3.34, 6 Mg 3.28-3.31

Computed properties:
Symmetry: P3m1 (156)

=====

12.
Material: HfMgPb
Method: DFT, PBE-GGA
State: relaxed

Cell lengths 3.2828, 3.2828, 7.0108 Å; angles 103.54, 103.54, 90.00 degrees
Closest atoms and distances in Å follow each position.
Positions (direct):
Pb1 0.2823 0.2823 0.5646  4 Hf 3.23, 4 Mg 3.25, 4 Pb 3.28
Mg1 0.9547 0.9547 0.9094  4 Hf 3.13, 4 Pb 3.25, 4 Mg 3.28
Hf1 0.6130 0.6130 0.2260  4 Mg 3.13, 4 Pb 3.23, 4 Hf 3.28

Computed properties:
Symmetry: I4mm (107)

=====

13.
Material: HfMg2Pb
Method: DFT, PBE-GGA
State: relaxed

Cell lengths 4.5394, 4.4161, 4.4161 Å; angles 90.00, 90.00, 90.00 degrees
Closest atoms and distances in Å follow each position.
Positions (direct):
Pb1 0.5000 0.0000 0.0000  4 Hf 3.12, 8 Mg 3.17
Mg1 0.0000 0.0000 0.5000  4 Mg 3.12, 4 Hf 3.17, 4 Pb 3.17
Mg2 0.0000 0.5000 0.0000  4 Mg 3.12, 4 Pb 3.17, 4 Hf 3.17
Hf1 0.5000 0.5000 0.5000  4 Pb 3.12, 8 Mg 3.17

Computed properties:
Symmetry: P4/mmm (123)

=====

14.
Material: HfMgPb2
Method: DFT, PBE-GGA
State: relaxed

Cell lengths 3.4190, 3.4190, 10.0116 Å; angles 80.17, 80.17, 60.00 degrees
Closest atoms and distances in Å follow each position.
Positions (direct):
Hf1 0.5003 0.5003 0.4991  6 Pb 3.16-3.17, 6 Hf 3.42
Mg1 0.6662 0.6662 0.0014  6 Pb 3.12-3.14, 6 Mg 3.42
Pb1 0.0826 0.0826 0.7521  3 Mg 3.14, 3 Hf 3.17, 6 Pb 3.42
Pb2 0.2508 0.2508 0.2475  3 Mg 3.12, 3 Hf 3.16, 6 Pb 3.42

Computed properties:
Symmetry: R3m (160)

=====

15.
Material: Hf2MgPb2
Method: DFT, PBE-GGA
State: relaxed

Cell lengths 7.9071, 7.9071, 3.8655 Å; angles 90.00, 90.00, 90.00 degrees
Closest atoms and distances in Å follow each position.
Positions (direct):
Pb1 0.3457 0.8457 0.0000  6 Hf 2.96-3.06, 2 Mg 2.99
Pb2 0.8457 0.6543 0.0000  6 Hf 2.96-3.06, 2 Mg 2.99
Pb3 0.6543 0.1543 0.0000  6 Hf 2.96-3.06, 2 Mg 2.99
Pb4 0.1543 0.3457 0.0000  6 Hf 2.96-3.06, 2 Mg 2.99
Mg1 0.0000 0.0000 0.0000  4 Pb 2.99
Mg2 0.5000 0.5000 0.0000  4 Pb 2.99
Hf1 0.1456 0.6456 0.5000  6 Pb 2.96-3.06, 1 Hf 3.26
Hf2 0.6456 0.8544 0.5000  6 Pb 2.96-3.06, 1 Hf 3.26
Hf3 0.8544 0.3544 0.5000  6 Pb 2.96-3.06, 1 Hf 3.26
Hf4 0.3544 0.1456 0.5000  6 Pb 2.96-3.06, 1 Hf 3.26

Computed properties:
Symmetry: P4/mbm (127)

=====

16.
Material: HfMgPb2
Method: DFT, PBE-GGA
State: relaxed

Cell lengths 8.0349, 8.0349, 6.5535 Å; angles 52.19, 52.19, 90.00 degrees
Closest atoms and distances in Å follow each position.
Positions (direct):
Pb1 0.6177 0.1250 0.2500  2 Mg 2.92, 2 Hf 3.00
Pb2 0.1323 0.6250 0.2500  2 Mg 2.92, 2 Hf 3.00
Pb3 0.3750 0.3823 0.7500  2 Mg 2.92, 2 Hf 3.00
Pb4 0.8750 0.8677 0.7500  2 Mg 2.92, 2 Hf 3.00
Mg1 0.5000 0.5000 0.0000  4 Pb 2.92
Mg2 0.2500 0.7500 0.5000  4 Pb 2.92
Hf1 0.0000 0.0000 0.0000  4 Pb 3.00, 2 Mg 3.27
Hf2 0.7500 0.2500 0.5000  4 Pb 3.00, 2 Mg 3.27

Computed properties:
Symmetry: I-42d (122)

=====

17.
Material: HfMgPb
Method: DFT, PBE-GGA
State: relaxed

Cell lengths 3.3073, 3.3073, 15.3296 Å; angles 90.00, 90.00, 120.00 degrees
Closest atoms and distances in Å follow each position.
Positions (direct):
Hf1 0.6667 0.3333 0.2794  3 Pb 3.18, 3 Mg 3.23, 6 Hf 3.31
Hf2 0.6667 0.3333 0.6189  3 Pb 3.18, 3 Mg 3.23, 6 Hf 3.31
Mg1 0.6667 0.3333 0.9489  6 Pb 3.16-3.17, 6 Mg 3.31
Mg2 0.3333 0.6667 0.4490  6 Hf 3.23, 6 Mg 3.31
Pb1 0.3333 0.6667 0.1138  3 Mg 3.17, 3 Hf 3.18, 6 Pb 3.31
Pb2 0.3333 0.6667 0.7844  3 Mg 3.16, 3 Hf 3.18, 6 Pb 3.31

Computed properties:
Symmetry: P-6m2 (187)

=====

18.
Material: HfMg2Pb
Method: DFT, PBE-GGA
State: relaxed

Cell lengths 3.1855, 5.3887, 5.7208 Å; angles 69.57, 90.00, 90.00 degrees
Closest atoms and distances in Å follow each position.
Positions (direct):
Hf1 0.0000 0.5000 0.5000  4 Pb 3.13, 6 Mg 3.17-3.27, 2 Hf 3.19
Mg1 0.0000 0.0000 0.0000  6 Mg 3.13-3.19, 2 Hf 3.17, 4 Pb 3.27
Mg2 0.5000 0.5000 0.0000  6 Mg 3.13-3.19, 2 Pb 3.17, 4 Hf 3.27
Pb1 0.5000 0.0000 0.5000  4 Hf 3.13, 6 Mg 3.17-3.27, 2 Pb 3.19

Computed properties:
Symmetry: P2/m (10)

=====

19.
Material: HfMgPb2
Method: DFT, PBE-GGA
State: relaxed

Cell lengths 3.8250, 3.8250, 6.7249 Å; angles 90.00, 90.00, 90.00 degrees
Closest atoms and distances in Å follow each position.
Positions (direct):
Pb1 0.0000 0.0000 0.7542  4 Hf 3.17, 4 Mg 3.20, 2 Pb 3.31-3.42
Pb2 0.0000 0.0000 0.2458  4 Hf 3.17, 4 Mg 3.20, 2 Pb 3.31-3.42
Mg1 0.5000 0.5000 0.5000  8 Pb 3.20, 2 Hf 3.36
Hf1 0.5000 0.5000 0.0000  8 Pb 3.17, 2 Mg 3.36

Computed properties:
Symmetry: P4/mmm (123)

=====

20.
Material: HfMgPb2
Method: DFT, PBE-GGA
State: relaxed

Cell lengths 3.3726, 5.4018, 5.4018 Å; angles 90.00, 90.00, 90.00 degrees
Closest atoms and distances in Å follow each position.
Positions (direct):
Pb1 0.0000 0.0000 0.5000  4 Mg 3.18, 4 Hf 3.18, 2 Pb 3.37
Pb2 0.0000 0.5000 0.0000  4 Hf 3.18, 4 Mg 3.18, 2 Pb 3.37
Mg1 0.5000 0.0000 0.0000  8 Pb 3.18, 2 Mg 3.37
Hf1 0.5000 0.5000 0.5000  8 Pb 3.18, 2 Hf 3.37

Computed properties:
Symmetry: P4/mmm (123)

=====

no.,formation energy (eV/atom),Fermi-level density of states (states/eV per atom)
1,-1.2279,0.13
2,0.9045,0.86
3,0.2490,1.93
4,0.5121,2.10
5,0.1009,1.27
6,0.1132,1.49
7,0.0345,1.48
8,0.1929,0.42
9,0.3675,0.38
10,0.3015,0.97
11,0.1916,0.84
12,0.0851,0.41
13,0.0068,0.54
14,0.0361,0.48
15,0.1464,0.35
16,0.3265,0.59
17,0.1502,1.03
18,0.0375,0.59
19,0.0947,0.97
20,0.0705,0.42